Record 1
## MgMn2PtRh (PBE-GGA)

Data for MgMn2PtRh after structural relaxation.

a b c (Å): 4.678 4.678 4.682
angles (deg): 90.00 90.00 90.00
Fractional coordinates of all 5 atoms:
Mg: 0.000 0.000 0.000
Mn: 0.000 0.500 0.500
Mn: 0.500 0.000 0.500
Pt: 0.500 0.500 0.000
Rh: 0.000 0.000 0.500

Summary:
**Mass density**: 7003 kg/m³
**Calculated volume**: 102.48 Å³/cell
**Uncorrected energy**: -5.99 eV per atom
**Calculated formation energy**: 672 meV/atom

***

Record 2
## SmDy2Ho7 (PBE-GGA)

Data for SmDy2Ho7 after structural relaxation.

a b c (Å): 9.278 9.278 5.465
angles (deg): 90.00 90.00 124.30
Fractional coordinates of all 10 atoms:
Sm: 0.000 0.000 0.000
Dy: 0.297 0.703 0.500
Dy: 0.703 0.297 0.500
Ho: 0.064 0.290 0.500
Ho: 0.208 0.792 0.000
Ho: 0.290 0.064 0.500
Ho: 0.500 0.500 0.500
Ho: 0.710 0.936 0.500
Ho: 0.792 0.208 0.000
Ho: 0.936 0.710 0.500

Summary:
**Mass density**: 6963 kg/m³
**Relative energy among the computed polymorphs**: 688 meV per atom
**Calculated volume**: 388.67 Å³/cell
**Uncorrected energy**: -3.89 eV per atom
**Calculated formation energy**: 705 meV/atom

***

Record 3
## LiMoIrRu2 (PBE-GGA)

Data for LiMoIrRu2 after structural relaxation.

a b c (Å): 4.047 4.047 4.160
angles (deg): 90.00 90.00 90.00
Fractional coordinates of all 5 atoms:
Li: 0.000 0.000 0.000
Mo: 0.000 0.000 0.500
Ir: 0.500 0.500 0.500
Ru: 0.000 0.500 0.000
Ru: 0.500 0.000 0.000

Summary:
**Mass density**: 12117 kg/m³
**Calculated volume**: 68.14 Å³/cell
**Uncorrected energy**: -7.11 eV per atom
**Calculated formation energy**: 920 meV/atom

***

Record 4
## YHo8Th4 (PBE-GGA)

Data for YHo8Th4 after structural relaxation.

a b c (Å): 9.812 9.812 9.812
angles (deg): 44.11 44.11 44.11
Fractional coordinates of all 13 atoms:
Y: 0.000 0.000 0.000
Ho: 0.251 0.251 0.689
Ho: 0.251 0.689 0.251
Ho: 0.280 0.280 0.280
Ho: 0.311 0.749 0.749
Ho: 0.689 0.251 0.251
Ho: 0.720 0.720 0.720
Ho: 0.749 0.311 0.749
Ho: 0.749 0.749 0.311
Th: 0.000 0.000 0.500
Th: 0.000 0.500 0.000
Th: 0.500 0.000 0.000
Th: 0.500 0.500 0.500

Summary:
**Mass density**: 9332 kg/m³
**Calculated volume**: 415.74 Å³/cell
**Uncorrected energy**: -5.37 eV per atom
**Calculated formation energy**: 228 meV/atom

***

Record 5
## TbReW (PBE-GGA)

Data for TbReW after structural relaxation.

a b c (Å): 5.483 5.483 5.483
angles (deg): 120.14 119.46 90.35
Fractional coordinates of all 6 atoms:
Tb: 0.373 0.123 0.250
Tb: 0.627 0.877 0.750
Re: 0.000 0.000 0.500
Re: 0.000 0.500 0.000
W: 0.000 0.500 0.500
W: 0.500 0.500 0.000

Summary:
**Mass density**: 15029 kg/m³
**Relative energy among the computed polymorphs**: 0 meV per atom
**Calculated volume**: 116.89 Å³/cell
**Uncorrected energy**: -10.07 eV per atom
**Calculated formation energy**: -55 meV/atom

***

Record 6
## SbTeCl3 (PBE-GGA)

Data for SbTeCl3 after structural relaxation.

a b c (Å): 5.395 5.395 5.395
angles (deg): 90.00 90.00 90.00
Fractional coordinates of all 5 atoms:
Sb: 0.000 0.000 0.000
Te: 0.500 0.500 0.500
Cl: 0.000 0.000 0.500
Cl: 0.000 0.500 0.000
Cl: 0.500 0.000 0.000

Summary:
**Mass density**: 3761 kg/m³
**Uncorrected formation energy**: -0.705 eV/f.u.
**Relative energy among the computed polymorphs**: 187 meV per atom
**Calculated volume**: 157.05 Å³/cell
**Uncorrected energy**: -2.70 eV per atom

***

Record 7
## LiZr2TiN4 (PBE-GGA)

Data for LiZr2TiN4 after structural relaxation.

a b c (Å): 5.474 4.493 5.466
angles (deg): 65.84 48.50 65.66
Fractional coordinates of all 8 atoms:
Li: 0.000 0.000 0.000
Zr: 0.250 0.250 0.250
Zr: 0.750 0.750 0.750
Ti: 0.469 0.469 0.531
N: 0.026 0.501 0.974
N: 0.269 0.733 0.267
N: 0.501 0.026 0.499
N: 0.733 0.269 0.731

Summary:
**Mass density**: 5418 kg/m³
**Uncorrected formation energy**: -11.694 eV/f.u.
**Calculated volume**: 89.89 Å³/cell
**Uncorrected energy**: -8.99 eV per atom

***

Record 8
## LiFe2Re (PBE-GGA)

Data for LiFe2Re after structural relaxation.

a b c (Å): 2.528 2.528 8.389
angles (deg): 90.00 90.00 90.00
Fractional coordinates of all 4 atoms:
Li: 0.000 0.000 0.000
Fe: 0.000 0.000 0.514
Fe: 0.500 0.500 0.738
Re: 0.500 0.500 0.266

Summary:
**Mass density**: 9443 kg/m³
**Relative energy among the computed polymorphs**: 136 meV per atom
**Calculated volume**: 53.61 Å³/cell
**Uncorrected energy**: -7.54 eV per atom
**Calculated formation energy**: 283 meV/atom

***

Record 9
## Cs2CaRuBr6 (PBE-GGA)

Data for Cs2CaRuBr6 after structural relaxation.

a b c (Å): 7.740 7.740 7.740
angles (deg): 60.00 60.00 60.00
Fractional coordinates of all 10 atoms:
Cs: 0.250 0.250 0.250
Cs: 0.750 0.750 0.750
Ca: 0.000 0.000 0.000
Ru: 0.500 0.500 0.500
Br: 0.264 0.264 0.736
Br: 0.264 0.736 0.264
Br: 0.264 0.736 0.736
Br: 0.736 0.264 0.264
Br: 0.736 0.264 0.736
Br: 0.736 0.736 0.264

Summary:
**Mass density**: 4488 kg/m³
**Uncorrected formation energy**: -12.890 eV/f.u.
**Calculated volume**: 327.94 Å³/cell
**Uncorrected energy**: -3.59 eV per atom

***

Record 10
## AcNdYIn (PBE-GGA)

Data for AcNdYIn after structural relaxation.

a b c (Å): 5.733 5.733 5.733
angles (deg): 60.00 60.00 60.00
Fractional coordinates of all 4 atoms:
Ac: 0.000 0.000 0.000
Nd: 0.500 0.500 0.500
Y: 0.250 0.250 0.250
In: 0.750 0.750 0.750

Summary:
**Mass density**: 7164 kg/m³
**Calculated volume**: 133.26 Å³/cell
**Uncorrected energy**: -4.62 eV per atom
**Calculated formation energy**: -99 meV/atom

***

Record 11
## Ga2Cu3Au6 (PBE-GGA)

Data for Ga2Cu3Au6 after structural relaxation.

a b c (Å): 5.114 6.257 6.414
angles (deg): 108.98 107.14 97.24
Fractional coordinates of all 11 atoms:
Ga: 0.124 0.310 0.313
Ga: 0.876 0.690 0.687
Cu: 0.000 0.500 0.000
Cu: 0.297 0.949 0.104
Cu: 0.703 0.051 0.896
Au: 0.156 0.107 0.755
Au: 0.370 0.764 0.441
Au: 0.382 0.578 0.802
Au: 0.618 0.422 0.198
Au: 0.630 0.236 0.559
Au: 0.844 0.893 0.245

Summary:
**Mass density**: 13965 kg/m³
**Relative energy among the computed polymorphs**: 0 meV per atom
**Calculated volume**: 179.77 Å³/cell
**Uncorrected energy**: -3.54 eV per atom
**Calculated formation energy**: -82 meV/atom

***

Record 12
## Cd2TeRuC (PBE-GGA)

Data for Cd2TeRuC after structural relaxation.

a b c (Å): 4.870 4.870 4.008
angles (deg): 90.00 90.00 90.00
Fractional coordinates of all 5 atoms:
Cd: 0.000 0.500 0.000
Cd: 0.500 0.000 0.000
Te: 0.000 0.000 0.500
Ru: 0.500 0.500 0.500
C: 0.500 0.500 0.000

Summary:
**Mass density**: 8132 kg/m³
**Uncorrected formation energy**: 3.269 eV/f.u.
**Calculated volume**: 95.05 Å³/cell
**Uncorrected energy**: -4.04 eV per atom

***

Record 13
## InPtAu2 (PBE-GGA)

Data for InPtAu2 after structural relaxation.

a b c (Å): 5.182 5.182 5.182
angles (deg): 134.79 131.93 68.11
Fractional coordinates of all 4 atoms:
In: 0.000 0.000 0.000
Pt: 0.244 0.744 0.500
Au: 0.498 0.498 0.000
Au: 0.752 0.252 0.500

Summary:
**Mass density**: 16190 kg/m³
**Calculated volume**: 72.19 Å³/cell
**Uncorrected energy**: -4.01 eV per atom
**Calculated formation energy**: -177 meV/atom

***

Record 14
## NdZn6Ni12 (PBE-GGA)

Data for NdZn6Ni12 after structural relaxation.

a b c (Å): 6.644 6.644 6.644
angles (deg): 104.38 104.38 104.38
Fractional coordinates of all 19 atoms:
Nd: 0.000 0.000 0.000
Zn: 0.286 0.286 0.708
Zn: 0.286 0.708 0.286
Zn: 0.292 0.714 0.714
Zn: 0.708 0.286 0.286
Zn: 0.714 0.292 0.714
Zn: 0.714 0.714 0.292
Ni: 0.110 0.500 0.890
Ni: 0.110 0.890 0.500
Ni: 0.132 0.381 0.381
Ni: 0.381 0.132 0.381
Ni: 0.381 0.381 0.132
Ni: 0.500 0.110 0.890
Ni: 0.500 0.890 0.110
Ni: 0.619 0.619 0.868
Ni: 0.619 0.868 0.619
Ni: 0.868 0.619 0.619
Ni: 0.890 0.110 0.500
Ni: 0.890 0.500 0.110

Summary:
**Mass density**: 7933 kg/m³
**Calculated volume**: 259.78 Å³/cell
**Uncorrected energy**: -4.29 eV per atom
**Calculated formation energy**: 12 meV/atom

***

Record 15
## MnCuTc2Cl (PBE-GGA)

Data for MnCuTc2Cl after structural relaxation.

a b c (Å): 4.700 4.700 4.423
angles (deg): 90.00 90.00 90.00
Fractional coordinates of all 5 atoms:
Mn: 0.000 0.000 0.000
Cu: 0.000 0.000 0.500
Tc: 0.000 0.500 0.500
Tc: 0.500 0.000 0.500
Cl: 0.500 0.500 0.000

Summary:
**Mass density**: 5946 kg/m³
**Uncorrected formation energy**: 9.723 eV/f.u.
**Calculated volume**: 97.72 Å³/cell
**Uncorrected energy**: -5.22 eV per atom

***

Record 16
## Mn2NbTe6 (PBE-GGA)

Data for Mn2NbTe6 after structural relaxation.

a b c (Å): 7.313 7.313 8.876
angles (deg): 120.17 120.17 41.29
Fractional coordinates of all 9 atoms:
Mn: 0.178 0.178 0.093
Mn: 0.822 0.822 0.907
Nb: 0.000 0.000 0.500
Te: 0.029 0.029 0.209
Te: 0.243 0.243 0.845
Te: 0.366 0.366 0.429
Te: 0.634 0.634 0.571
Te: 0.757 0.757 0.155
Te: 0.971 0.971 0.791

Summary:
**Mass density**: 6086 kg/m³
**Uncorrected formation energy**: -0.603 eV/f.u.
**Calculated volume**: 264.23 Å³/cell
**Uncorrected energy**: -5.32 eV per atom

***

Record 17
## ScTiCrN2 (PBE-GGA)

Data for ScTiCrN2 after structural relaxation.

a b c (Å): 3.802 3.802 4.676
angles (deg): 90.00 90.00 90.00
Fractional coordinates of all 5 atoms:
Sc: 0.000 0.000 0.000
Ti: 0.500 0.500 0.000
Cr: 0.000 0.000 0.500
N: 0.000 0.500 0.500
N: 0.500 0.000 0.500

Summary:
**Mass density**: 4247 kg/m³
**Uncorrected formation energy**: 3.904 eV/f.u.
**Calculated volume**: 67.58 Å³/cell
**Uncorrected energy**: -7.32 eV per atom

***

Record 18
## TaBTeBr2 (PBE-GGA)

Data for TaBTeBr2 after structural relaxation.

a b c (Å): 4.572 4.572 4.929
angles (deg): 90.00 90.00 90.00
Fractional coordinates of all 5 atoms:
Ta: 0.000 0.000 0.000
B: 0.000 0.000 0.500
Te: 0.500 0.500 0.000
Br: 0.000 0.500 0.500
Br: 0.500 0.000 0.500

Summary:
**Mass density**: 7721 kg/m³
**Uncorrected formation energy**: 5.098 eV/f.u.
**Calculated volume**: 103.05 Å³/cell
**Uncorrected energy**: -3.98 eV per atom

***

Record 19
## GdHoErAg (PBE-GGA)

Data for GdHoErAg after structural relaxation.

a b c (Å): 5.338 5.338 5.338
angles (deg): 60.00 60.00 60.00
Fractional coordinates of all 4 atoms:
Gd: 0.000 0.000 0.000
Ho: 0.250 0.250 0.250
Er: 0.750 0.750 0.750
Ag: 0.500 0.500 0.500

Summary:
**Mass density**: 9222 kg/m³
**Calculated volume**: 107.55 Å³/cell
**Uncorrected energy**: -6.45 eV per atom
**Calculated formation energy**: 72 meV/atom

***

Record 20
## Zr2WSe (PBE-GGA)

Data for Zr2WSe after structural relaxation.

a b c (Å): 3.338 3.338 7.096
angles (deg): 90.00 90.00 90.00
Fractional coordinates of all 4 atoms:
Zr: 0.000 0.000 0.000
Zr: 0.500 0.500 0.297
W: 0.500 0.500 0.753
Se: 0.000 0.000 0.578

Summary:
**Mass density**: 9353 kg/m³
**Uncorrected formation energy**: 0.011 eV/f.u.
**Calculated volume**: 79.05 Å³/cell
**Uncorrected energy**: -8.38 eV per atom

***

Record 21
## V3InBr (PBE-GGA)

Data for V3InBr after structural relaxation.

a b c (Å): 4.510 4.510 4.510
angles (deg): 90.00 90.00 90.00
Fractional coordinates of all 5 atoms:
V: 0.000 0.000 0.500
V: 0.000 0.500 0.000
V: 0.500 0.000 0.000
In: 0.500 0.500 0.500
Br: 0.000 0.000 0.000

Summary:
**Mass density**: 6293 kg/m³
**Uncorrected formation energy**: 4.362 eV/f.u.
**Relative energy among the computed polymorphs**: 0 meV per atom
**Calculated volume**: 91.71 Å³/cell
**Uncorrected energy**: -5.48 eV per atom

***

Record 22
## Be3CoS (PBE-GGA)

Data for Be3CoS after structural relaxation.

a b c (Å): 3.968 3.968 3.968
angles (deg): 90.00 90.00 90.00
Fractional coordinates of all 5 atoms:
Be: 0.000 0.000 0.500
Be: 0.000 0.500 0.000
Be: 0.500 0.000 0.000
Co: 0.500 0.500 0.500
S: 0.000 0.000 0.000

Summary:
**Mass density**: 3137 kg/m³
**Uncorrected formation energy**: 4.186 eV/f.u.
**Relative energy among the computed polymorphs**: 62 meV per atom
**Calculated volume**: 62.47 Å³/cell
**Uncorrected energy**: -3.65 eV per atom

***

Record 23
## Sr5NdSe6 (PBE-GGA)

Data for Sr5NdSe6 after structural relaxation.

a b c (Å): 7.624 7.624 7.627
angles (deg): 99.59 99.59 119.99
Fractional coordinates of all 12 atoms:
Sr: 0.000 0.000 0.000
Sr: 0.166 0.834 0.500
Sr: 0.332 0.668 0.000
Sr: 0.668 0.332 0.000
Sr: 0.834 0.166 0.500
Nd: 0.500 0.500 0.500
Se: 0.094 0.418 0.255
Se: 0.257 0.257 0.745
Se: 0.418 0.094 0.255
Se: 0.582 0.906 0.745
Se: 0.743 0.743 0.255
Se: 0.906 0.582 0.745

Summary:
**Mass density**: 4844 kg/m³
**Uncorrected formation energy**: -24.072 eV/f.u.
**Calculated volume**: 362.05 Å³/cell
**Uncorrected energy**: -4.85 eV per atom

***

Record 24
## Ti2RePd (PBE-GGA)

Data for Ti2RePd after structural relaxation.

a b c (Å): 4.431 4.431 4.431
angles (deg): 60.00 60.00 60.00
Fractional coordinates of all 4 atoms:
Ti: 0.250 0.250 0.250
Ti: 0.750 0.750 0.750
Re: 0.000 0.000 0.000
Pd: 0.500 0.500 0.500

Summary:
**Mass density**: 10482 kg/m³
**Relative energy among the computed polymorphs**: 73 meV per atom
**Calculated volume**: 61.52 Å³/cell
**Uncorrected energy**: -8.84 eV per atom
**Calculated formation energy**: -483 meV/atom

***

Record 25
## TaAgSe3 (PBE-GGA)

Data for TaAgSe3 after structural relaxation.

a b c (Å): 5.050 5.050 5.050
angles (deg): 90.00 90.00 90.00
Fractional coordinates of all 5 atoms:
Ta: 0.000 0.000 0.000
Ag: 0.500 0.500 0.500
Se: 0.000 0.000 0.500
Se: 0.000 0.500 0.000
Se: 0.500 0.000 0.000

Summary:
**Mass density**: 6778 kg/m³
**Uncorrected formation energy**: -0.140 eV/f.u.
**Calculated volume**: 128.79 Å³/cell
**Uncorrected energy**: -5.06 eV per atom

***

Record 26
## ZrHgRu2 (PBE-GGA)

Data for ZrHgRu2 after structural relaxation.

a b c (Å): 3.306 3.306 6.384
angles (deg): 90.00 90.00 90.00
Fractional coordinates of all 4 atoms:
Zr: 0.000 0.000 0.000
Hg: 0.000 0.000 0.500
Ru: 0.500 0.500 0.241
Ru: 0.500 0.500 0.759

Summary:
**Mass density**: 11753 kg/m³
**Calculated volume**: 69.79 Å³/cell
**Uncorrected energy**: -6.87 eV per atom
**Calculated formation energy**: -17 meV/atom